Material: PuScReRu
Method: DFT, PBE-GGA
State: optimized geometry

Density of states at the Fermi level   1.1654 states/eV/atom
Total magnetic moment   0.95 μB per atom
Density   13.38 g cm⁻³
Energy   -10.74 eV per atom

Geometry as CIF:
```
data_PuScReRu
_cell_length_a 4.6586
_cell_length_b 4.6586
_cell_length_c 4.6586
_cell_angle_alpha 60.00
_cell_angle_beta 60.00
_cell_angle_gamma 60.00
_space_group_name_H-M_alt 'P 1'
_space_group_IT_number 1
loop_
_space_group_symop_operation_xyz
'x,y,z'
loop_
_atom_site_label
_atom_site_type_symbol
_atom_site_fract_x
_atom_site_fract_y
_atom_site_fract_z
Pu1 Pu 0.7500 0.7500 0.7500
Ru1 Ru 0.5000 0.5000 0.5000
Sc1 Sc 0.2500 0.2500 0.2500
Re1 Re 0.0000 0.0000 0.0000
```

---

Material: BeCr2Os
Method: DFT, PBE-GGA
State: optimized geometry

Density of states at the Fermi level   0.8835 states/eV/atom
Total magnetic moment   0.01 μB per atom
Density   11.04 g cm⁻³
Energy   -8.57 eV per atom

Geometry as CIF:
```
data_BeCr2Os
_cell_length_a 2.9008
_cell_length_b 2.9008
_cell_length_c 5.4182
_cell_angle_alpha 90.00
_cell_angle_beta 90.00
_cell_angle_gamma 90.00
_space_group_name_H-M_alt 'P 1'
_space_group_IT_number 1
loop_
_space_group_symop_operation_xyz
'x,y,z'
loop_
_atom_site_label
_atom_site_type_symbol
_atom_site_fract_x
_atom_site_fract_y
_atom_site_fract_z
Os1 Os 0.0000 0.0000 0.5267
Be1 Be 0.5000 0.5000 0.7568
Cr1 Cr 0.5000 0.5000 0.2230
Cr2 Cr 0.0000 0.0000 0.9935
```

---

Material: GdBiPtRh
Method: DFT, PBE-GGA
State: optimized geometry

Density of states at the Fermi level   0.5331 states/eV/atom
Total magnetic moment   1.74 μB per atom
Density   13.24 g cm⁻³
Energy   -8.44 eV per atom

Geometry as CIF:
```
data_GdBiPtRh
_cell_length_a 4.9029
_cell_length_b 4.9029
_cell_length_c 4.9029
_cell_angle_alpha 60.00
_cell_angle_beta 60.00
_cell_angle_gamma 60.00
_space_group_name_H-M_alt 'P 1'
_space_group_IT_number 1
loop_
_space_group_symop_operation_xyz
'x,y,z'
loop_
_atom_site_label
_atom_site_type_symbol
_atom_site_fract_x
_atom_site_fract_y
_atom_site_fract_z
Bi1 Bi 0.5000 0.5000 0.5000
Pt1 Pt 0.7500 0.7500 0.7500
Gd1 Gd 0.0000 0.0000 0.0000
Rh1 Rh 0.2500 0.2500 0.2500
```

---

Material: LaTlV3
Method: DFT, PBE-GGA
State: optimized geometry

Density of states at the Fermi level   1.4899 states/eV/atom
Total magnetic moment   0.00 μB per atom
Polymorph energy (0 for the lowest one)   333 meV per atom
Density   8.20 g cm⁻³
Energy   -5.31 eV per atom

Geometry as CIF:
```
data_LaTlV3
_cell_length_a 4.6493
_cell_length_b 4.6493
_cell_length_c 4.6493
_cell_angle_alpha 90.00
_cell_angle_beta 90.00
_cell_angle_gamma 90.00
_space_group_name_H-M_alt 'P 1'
_space_group_IT_number 1
loop_
_space_group_symop_operation_xyz
'x,y,z'
loop_
_atom_site_label
_atom_site_type_symbol
_atom_site_fract_x
_atom_site_fract_y
_atom_site_fract_z
La1 La 0.0000 0.0000 0.0000
V1 V 0.0000 0.0000 0.5000
V2 V 0.0000 0.5000 0.0000
V3 V 0.5000 0.0000 0.0000
Tl1 Tl 0.5000 0.5000 0.5000
```

---

Material: W3AuBr
Method: DFT, PBE-GGA
State: optimized geometry

Density of states at the Fermi level   0.5932 states/eV/atom
Total magnetic moment   0.00 μB per atom
Polymorph energy (0 for the lowest one)   0 meV per atom
Density   14.28 g cm⁻³
Energy   -6.64 eV per atom

Geometry as CIF:
```
data_W3AuBr
_cell_length_a 4.5842
_cell_length_b 4.5842
_cell_length_c 4.5842
_cell_angle_alpha 90.00
_cell_angle_beta 90.00
_cell_angle_gamma 90.00
_space_group_name_H-M_alt 'P 1'
_space_group_IT_number 1
loop_
_space_group_symop_operation_xyz
'x,y,z'
loop_
_atom_site_label
_atom_site_type_symbol
_atom_site_fract_x
_atom_site_fract_y
_atom_site_fract_z
W1 W 0.0000 0.0000 0.5000
W2 W 0.5000 0.0000 0.0000
W3 W 0.0000 0.5000 0.0000
Au1 Au 0.5000 0.5000 0.5000
Br1 Br 0.0000 0.0000 0.0000
```

---

Material: NiH2Cl6
Method: DFT, PBE-GGA
State: optimized geometry

Density of states at the Fermi level   0.4686 states/eV/atom
Total magnetic moment   0.46 μB per atom
Density   1.69 g cm⁻³
Energy   -2.91 eV per atom

Geometry as CIF:
```
data_NiH2Cl6
_cell_length_a 10.7535
_cell_length_b 10.7535
_cell_length_c 4.9381
_cell_angle_alpha 76.78
_cell_angle_beta 76.78
_cell_angle_gamma 92.13
_space_group_name_H-M_alt 'P 1'
_space_group_IT_number 1
loop_
_space_group_symop_operation_xyz
'x,y,z'
loop_
_atom_site_label
_atom_site_type_symbol
_atom_site_fract_x
_atom_site_fract_y
_atom_site_fract_z
Cl1 Cl 0.9618 0.2109 0.9131
Cl2 Cl 0.2109 0.9618 0.4131
Cl3 Cl 0.3721 0.8046 0.9096
Cl4 Cl 0.6279 0.1954 0.0904
Cl5 Cl 0.8046 0.3721 0.4096
Cl6 Cl 0.1954 0.6279 0.5904
Cl7 Cl 0.7891 0.0382 0.5869
Cl8 Cl 0.7683 0.6429 0.7761
Cl9 Cl 0.2317 0.3571 0.2239
Cl10 Cl 0.3571 0.2317 0.7239
Cl11 Cl 0.6429 0.7683 0.2761
Cl12 Cl 0.0382 0.7891 0.0869
H1 H 0.2942 0.2948 0.9738
H2 H 0.2948 0.2942 0.4738
H3 H 0.7052 0.7058 0.5262
H4 H 0.7058 0.7052 0.0262
Ni1 Ni 0.2046 0.7954 0.7500
Ni2 Ni 0.7954 0.2046 0.2500
```

---

Material: Zr2InGeCl
Method: DFT, PBE-GGA
State: optimized geometry

Density of states at the Fermi level   0.2853 states/eV/atom
Total magnetic moment   0.00 μB per atom
Density   4.56 g cm⁻³
Energy   -4.33 eV per atom

Geometry as CIF:
```
data_Zr2InGeCl
_cell_length_a 5.4790
_cell_length_b 4.9166
_cell_length_c 5.4790
_cell_angle_alpha 90.00
_cell_angle_beta 90.00
_cell_angle_gamma 90.00
_space_group_name_H-M_alt 'P 1'
_space_group_IT_number 1
loop_
_space_group_symop_operation_xyz
'x,y,z'
loop_
_atom_site_label
_atom_site_type_symbol
_atom_site_fract_x
_atom_site_fract_y
_atom_site_fract_z
Zr1 Zr 0.5000 0.0000 0.0000
Zr2 Zr 0.0000 0.0000 0.5000
In1 In 0.0000 0.0000 0.0000
Ge1 Ge 0.5000 0.5000 0.5000
Cl1 Cl 0.0000 0.5000 0.0000
```

---

Material: YPdN
Method: DFT, PBE-GGA
State: optimized geometry

Density of states at the Fermi level   0.5644 states/eV/atom
Total magnetic moment   0.00 μB per atom
Density   7.46 g cm⁻³
Energy   -7.66 eV per atom

Geometry as CIF:
```
data_YPdN
_cell_length_a 3.4283
_cell_length_b 6.8391
_cell_length_c 8.6479
_cell_angle_alpha 113.28
_cell_angle_beta 90.00
_cell_angle_gamma 90.00
_space_group_name_H-M_alt 'P 1'
_space_group_IT_number 1
loop_
_space_group_symop_operation_xyz
'x,y,z'
loop_
_atom_site_label
_atom_site_type_symbol
_atom_site_fract_x
_atom_site_fract_y
_atom_site_fract_z
Y1 Y 0.7500 0.7967 0.3430
Y2 Y 0.2500 0.2033 0.6570
Y3 Y 0.2500 0.7033 0.6570
Y4 Y 0.7500 0.2967 0.3430
N1 N 0.2500 0.0562 0.3618
N2 N 0.2500 0.5562 0.3618
N3 N 0.7500 0.9438 0.6382
N4 N 0.7500 0.4438 0.6382
Pd1 Pd 0.7500 0.5783 0.9068
Pd2 Pd 0.2500 0.9217 0.0932
Pd3 Pd 0.2500 0.4217 0.0932
Pd4 Pd 0.7500 0.0783 0.9068
```

---

Material: PmErPaPb
Method: DFT, PBE-GGA
State: optimized geometry

Density of states at the Fermi level   1.9430 states/eV/atom
Total magnetic moment   0.34 μB per atom
Density   11.05 g cm⁻³
Energy   -5.47 eV per atom

Geometry as CIF:
```
data_PmErPaPb
_cell_length_a 5.4225
_cell_length_b 5.4225
_cell_length_c 5.4225
_cell_angle_alpha 60.00
_cell_angle_beta 60.00
_cell_angle_gamma 60.00
_space_group_name_H-M_alt 'P 1'
_space_group_IT_number 1
loop_
_space_group_symop_operation_xyz
'x,y,z'
loop_
_atom_site_label
_atom_site_type_symbol
_atom_site_fract_x
_atom_site_fract_y
_atom_site_fract_z
Pm1 Pm 0.0000 0.0000 0.0000
Pa1 Pa 0.7500 0.7500 0.7500
Er1 Er 0.5000 0.5000 0.5000
Pb1 Pb 0.2500 0.2500 0.2500
```

---

Material: Ac2HoTm
Method: DFT, PBE-GGA
State: optimized geometry

Density of states at the Fermi level   1.8731 states/eV/atom
Total magnetic moment   0.00 μB per atom
Polymorph energy (0 for the lowest one)   214 meV per atom
Density   8.56 g cm⁻³
Energy   -4.05 eV per atom

Geometry as CIF:
```
data_Ac2HoTm
_cell_length_a 3.6825
_cell_length_b 3.6825
_cell_length_c 13.1837
_cell_angle_alpha 81.97
_cell_angle_beta 81.97
_cell_angle_gamma 60.00
_space_group_name_H-M_alt 'P 1'
_space_group_IT_number 1
loop_
_space_group_symop_operation_xyz
'x,y,z'
loop_
_atom_site_label
_atom_site_type_symbol
_atom_site_fract_x
_atom_site_fract_y
_atom_site_fract_z
Ac1 Ac 0.0885 0.0885 0.7346
Ac2 Ac 0.9115 0.9115 0.2654
Ho1 Ho 0.5000 0.5000 0.5000
Tm1 Tm 0.0000 0.0000 0.0000
```

---

Material: BaRhS2O8
Method: DFT, PBE-GGA
State: optimized geometry

Density of states at the Fermi level   0.0587 states/eV/atom
Total magnetic moment   0.08 μB per atom
Density   4.03 g cm⁻³
Energy   -6.28 eV per atom

Geometry as CIF:
```
data_BaRhS2O8
_cell_length_a 4.9544
_cell_length_b 4.9544
_cell_length_c 7.9224
_cell_angle_alpha 83.58
_cell_angle_beta 83.58
_cell_angle_gamma 67.47
_space_group_name_H-M_alt 'P 1'
_space_group_IT_number 1
loop_
_space_group_symop_operation_xyz
'x,y,z'
loop_
_atom_site_label
_atom_site_type_symbol
_atom_site_fract_x
_atom_site_fract_y
_atom_site_fract_z
O1 O 0.7008 0.2567 0.7899
O2 O 0.7433 0.2992 0.2101
O3 O 0.7501 0.7501 0.0583
O4 O 0.2499 0.2499 0.9417
O5 O 0.2992 0.7433 0.2101
O6 O 0.2567 0.7008 0.7899
O7 O 0.3038 0.3038 0.6227
O8 O 0.6962 0.6962 0.3773
Rh1 Rh 0.0000 0.0000 0.0000
S1 S 0.3734 0.3734 0.7874
S2 S 0.6266 0.6266 0.2126
Ba1 Ba 0.0000 0.0000 0.5000
```

---

Number 11 is which compound?
BaRhS2O8

---

Look up the density of states at the Fermi level of the eleventh one.
0.0587 states/eV/atom